# EuReC PBE-GGA relaxed
data_EuReC
_space_group_name_H-M_alt 'I 4 m m'
_space_group_IT_number 107
_space_group_name_Hall 'I 4 -2'
_cell_length_a 2.934
_cell_length_b 2.934
_cell_length_c 10.965
_cell_angle_alpha 90.00
_cell_angle_beta 90.00
_cell_angle_gamma 90.00
loop_
_atom_site_label
_atom_site_type_symbol
_atom_site_fract_x
_atom_site_fract_y
_atom_site_fract_z
Eu1 Eu 0.000 0.000 0.000
Re1 Re 0.000 0.000 0.276
C1 C 0.000 0.000 0.727
# Energy of formation   133 kJ/mol of formula units
# Calculated volume   94.4 Å³/cell
# Electronic total energy   -61.14 eV/cell


# Tm8Te4PSe3 PBE-GGA relaxed
data_Tm8Te4PSe3
_space_group_name_H-M_alt 'R -3 m'
_space_group_IT_number 166
_space_group_name_Hall '-R 3 2"'
_cell_length_a 8.2453
_cell_length_b 8.2453
_cell_length_c 20.7171
_cell_angle_alpha 90.00
_cell_angle_beta 90.00
_cell_angle_gamma 120.00
loop_
_atom_site_label
_atom_site_type_symbol
_atom_site_fract_x
_atom_site_fract_y
_atom_site_fract_z
Tm1 Tm 0.0000 0.0000 0.2385
Tm2 Tm 0.0158 0.5079 0.2366
Te1 Te 0.0000 0.0000 0.0000
Te2 Te 0.0000 0.5000 0.0000
P1 P 0.0000 0.0000 0.5000
Se1 Se 0.0000 0.5000 0.5000
# Calculated volume   1219.7 Å³/cell
# Uncorrected formation energy   -1.47 eV/atom
# Electronic total energy   -263.12 eV/cell


# YHBr PBE-GGA relaxed
data_YHBr
_space_group_name_H-M_alt 'P m m m'
_space_group_IT_number 47
_space_group_name_Hall '-P 2 2'
_cell_length_a 3.354
_cell_length_b 3.567
_cell_length_c 4.974
_cell_angle_alpha 90.00
_cell_angle_beta 90.00
_cell_angle_gamma 90.00
loop_
_atom_site_label
_atom_site_type_symbol
_atom_site_fract_x
_atom_site_fract_y
_atom_site_fract_z
Y1 Y 0.000 0.000 0.000
H1 H 0.500 0.500 0.000
Br1 Br 0.500 0.000 0.500
# Calculated volume   59.5 Å³/cell
# Electronic total energy   -13.91 eV/cell


Look up the calculated volume of the second one. 1219.7 Å³/cell


Repeat the second record exactly.
# Tm8Te4PSe3 PBE-GGA relaxed
data_Tm8Te4PSe3
_space_group_name_H-M_alt 'R -3 m'
_space_group_IT_number 166
_space_group_name_Hall '-R 3 2"'
_cell_length_a 8.2453
_cell_length_b 8.2453
_cell_length_c 20.7171
_cell_angle_alpha 90.00
_cell_angle_beta 90.00
_cell_angle_gamma 120.00
loop_
_atom_site_label
_atom_site_type_symbol
_atom_site_fract_x
_atom_site_fract_y
_atom_site_fract_z
Tm1 Tm 0.0000 0.0000 0.2385
Tm2 Tm 0.0158 0.5079 0.2366
Te1 Te 0.0000 0.0000 0.0000
Te2 Te 0.0000 0.5000 0.0000
P1 P 0.0000 0.0000 0.5000
Se1 Se 0.0000 0.5000 0.5000
# Calculated volume   1219.7 Å³/cell
# Uncorrected formation energy   -1.47 eV/atom
# Electronic total energy   -263.12 eV/cell


Which value of calculated volume does entry 2 give? 1219.7 Å³/cell


calculated volume of number 3 (YHBr)? 59.5 Å³/cell